# PBE CeGaAgGe, optimized geometry
data_CeGaAgGe
_chemical_formula_sum 'Ce4 Ga4 Ag4 Ge4'
_space_group_name_H-M_alt 'F -4 3 m'
_space_group_IT_number 216
_space_group_name_Hall 'F -4 2 3'
_cell_length_a 6.916
_cell_length_b 6.916
_cell_length_c 6.916
_cell_angle_alpha 90.00
_cell_angle_beta 90.00
_cell_angle_gamma 90.00
loop_
_atom_site_label
_atom_site_type_symbol
_atom_site_fract_x
_atom_site_fract_y
_atom_site_fract_z
_atom_site_occupancy
Ce1 Ce 0.000 0.000 0.000 1
Ga1 Ga 0.250 0.250 0.750 1
Ag1 Ag 0.000 0.000 0.500 1
Ge1 Ge 0.250 0.250 0.250 1
# Magnetization   0.12 μB/f.u.
# Distance to the lowest polymorph of the same formula   32.0 meV/atom
# Formation energy   -318 meV/atom
# Raw total energy   -4.43 eV per atom